Material: La2Sn4Pd3Au
Method: DFT, PBE
State: optimized geometry

Geometry as POSCAR:
```
La2Sn4Pd3Au
1.0
4.6494 0.0000 0.0000
0.0000 4.6494 0.0000
0.0000 0.0000 10.8536
La Pd Sn Au
2 3 4 1
direct
0.5000 0.0000 0.2565
0.0000 0.5000 0.7435
0.0000 0.5000 0.1257
0.5000 0.0000 0.8743
0.0000 0.0000 0.5000
0.0000 0.0000 0.0000
0.5000 0.0000 0.6341
0.5000 0.5000 0.0000
0.0000 0.5000 0.3659
0.5000 0.5000 0.5000
```

Calculated values
**Space group**: P-4m2
**Uncorrected energy**: -5.254 eV per atom

***

Material: La2Sn3Pd4Au
Method: DFT, PBE
State: optimized geometry

Geometry as POSCAR:
```
La2Sn3Pd4Au
1.0
-4.0849 -1.6049 1.1520
-0.2502 -2.2044 -3.9582
4.7726 -8.8331 4.6175
Au Sn La Pd
1 3 2 4
direct
0.5000 0.5000 0.5000
0.0000 0.5000 0.1258
0.5000 0.0000 0.8742
0.0000 0.0000 0.5000
0.5000 0.0000 0.2592
0.0000 0.5000 0.7408
0.5000 0.0000 0.6394
0.5000 0.5000 0.0000
0.0000 0.5000 0.3606
0.0000 0.0000 0.0000
```

Calculated values
**Space group**: P-4m2
**Uncorrected energy**: -5.355 eV per atom

***

Material: LaSnPdAu2
Method: DFT, PBE
State: optimized geometry

Geometry as POSCAR:
```
LaSnPdAu2
1.0
-1.3052 1.7349 4.5745
3.1734 -4.5017 2.6128
4.1217 2.9408 0.0607
Sn Pd La Au
1 1 1 2
direct
0.0000 0.0000 0.0000
0.5000 0.5000 0.5000
0.0000 0.5000 0.0000
0.0000 0.0000 0.5000
0.5000 0.0000 0.0000
```

Calculated values
**Space group**: P4/mmm
**Uncorrected energy**: -3.785 eV per atom

***

Material: La2TePdAu
Method: DFT, PBE
State: optimized geometry

Geometry as POSCAR:
```
La2TePdAu
1.0
5.7795 0.0000 0.0000
0.0000 5.2181 0.0000
0.0000 0.0000 5.7795
Te La Pd Au
1 2 1 1
direct
0.0000 0.5000 0.0000
0.5000 0.0000 0.0000
0.0000 0.0000 0.5000
0.5000 0.5000 0.5000
0.0000 0.0000 0.0000
```

Calculated values
**Space group**: P4/mmm
**Uncorrected energy**: -4.342 eV per atom
**Formation energy (no corrections)**: -48.4 meV per atom

***

Material: LaTe2PdAu
Method: DFT, PBE
State: optimized geometry

Geometry as POSCAR:
```
LaTe2PdAu
1.0
6.1092 0.0000 0.0000
0.0000 5.6309 0.0000
0.0000 0.0000 6.1092
Pd Te Au La
1 2 1 1
direct
0.5000 0.5000 0.5000
0.0000 0.0000 0.5000
0.5000 0.0000 0.0000
0.0000 0.5000 0.0000
0.0000 0.0000 0.0000
```

Calculated values
**Space group**: P4/mmm
**Uncorrected energy**: -3.537 eV per atom
**Formation energy (no corrections)**: 399.2 meV per atom

***

Material: LaThPdAu
Method: DFT, PBE
State: optimized geometry

Geometry as POSCAR:
```
LaThPdAu
1.0
5.2354 0.0000 0.0000
2.6177 4.5340 0.0000
2.6177 1.5113 4.2747
La Pd Th Au
1 1 1 1
direct
0.2500 0.2500 0.2500
0.0000 0.0000 0.0000
0.7500 0.7500 0.7500
0.5000 0.5000 0.5000
```

Calculated values
**Space group**: F-43m
**Uncorrected energy**: -5.847 eV per atom
**Energy above the lowest structure with this stoichiometry**: 102 meV per atom

***

Material: LaThPdAu
Method: DFT, PBE
State: optimized geometry

Geometry as POSCAR:
```
LaThPdAu
1.0
3.9199 0.0000 0.0000
0.0000 4.6366 0.0000
-1.9599 0.0000 5.7850
Pd Th La Au
1 1 1 1
direct
0.4071 0.0000 0.8142
0.8677 0.5000 0.7354
0.1416 0.0000 0.2831
0.5836 0.5000 0.1672
```

Calculated values
**Space group**: Amm2
**Uncorrected energy**: -5.949 eV per atom
**Energy above the lowest structure with this stoichiometry**: 0 meV per atom

***

Material: LaTmPdAu
Method: DFT, PBE
State: optimized geometry

Geometry as POSCAR:
```
LaTmPdAu
1.0
-0.1252 3.1015 -4.0912
-1.8428 -1.7231 -4.4730
-4.4972 1.7408 -1.7658
Tm Au La Pd
1 1 1 1
direct
0.7500 0.7500 0.7500
0.0000 0.0000 0.0000
0.2500 0.2500 0.2500
0.5000 0.5000 0.5000
```

Calculated values
**Space group**: F-43m
**Uncorrected energy**: -5.272 eV per atom
**Energy above the lowest structure with this stoichiometry**: 51 meV per atom

***

Material: LaTmPdAu
Method: DFT, PBE
State: optimized geometry

Geometry as POSCAR:
```
LaTmPdAu
1.0
-3.4671 -1.5724 0.4732
1.7629 -2.8402 3.4788
0.5443 4.5031 3.4006
La Pd Au Tm
1 1 1 1
direct
0.1408 0.0000 0.2816
0.4115 0.0000 0.8230
0.5823 0.5000 0.1646
0.8654 0.5000 0.7308
```

Calculated values
**Space group**: Amm2
**Uncorrected energy**: -5.323 eV per atom
**Energy above the lowest structure with this stoichiometry**: 0 meV per atom

***

Material: La2VPdAu
Method: DFT, PBE
State: optimized geometry

Geometry as POSCAR:
```
La2VPdAu
1.0
5.3746 0.0000 0.0000
0.0000 4.7540 0.0000
0.0000 0.0000 5.3746
V La Pd Au
1 2 1 1
direct
0.0000 0.0000 0.0000
0.0000 0.0000 0.5000
0.5000 0.0000 0.0000
0.5000 0.5000 0.5000
0.0000 0.5000 0.0000
```

Calculated values
**Space group**: P4/mmm
**Uncorrected energy**: -5.215 eV per atom
**Energy above the lowest structure with this stoichiometry**: 0 meV per atom

***

Material: La2VPdAu
Method: DFT, PBE
State: optimized geometry

Geometry as POSCAR:
```
La2VPdAu
1.0
5.6590 0.0000 0.0000
0.0000 5.0377 0.0000
0.0000 0.0000 5.6590
La Pd V Au
2 1 1 1
direct
0.5000 0.0000 0.0000
0.0000 0.0000 0.5000
0.0000 0.5000 0.0000
0.5000 0.5000 0.5000
0.0000 0.0000 0.0000
```

Calculated values
**Space group**: P4/mmm
**Uncorrected energy**: -5.050 eV per atom
**Energy above the lowest structure with this stoichiometry**: 165 meV per atom

***

Material: La2Zn3PdAu4
Method: DFT, PBE
State: optimized geometry

Geometry as POSCAR:
```
La2Zn3PdAu4
1.0
4.3723 0.0000 0.0000
0.0000 4.3723 0.0000
0.0000 0.0000 11.1404
Au Pd Zn La
4 1 3 2
direct
0.0000 0.5000 0.3543
0.5000 0.5000 0.0000
0.0000 0.0000 0.0000
0.5000 0.0000 0.6457
0.5000 0.5000 0.5000
0.5000 0.0000 0.8725
0.0000 0.5000 0.1275
0.0000 0.0000 0.5000
0.5000 0.0000 0.2580
0.0000 0.5000 0.7420
```

Calculated values
**Space group**: P-4m2
**Uncorrected energy**: -3.744 eV per atom

***

Material: La2Zn3Pd4Au
Method: DFT, PBE
State: optimized geometry

Geometry as POSCAR:
```
La2Zn3Pd4Au
1.0
4.2033 0.0000 0.0000
0.0000 4.2033 0.0000
0.0000 0.0000 11.3501
Zn Pd La Au
3 4 2 1
direct
0.0000 0.0000 0.5000
0.0000 0.5000 0.1254
0.5000 0.0000 0.8746
0.0000 0.5000 0.3453
0.0000 0.0000 0.0000
0.5000 0.5000 0.0000
0.5000 0.0000 0.6547
0.0000 0.5000 0.7497
0.5000 0.0000 0.2503
0.5000 0.5000 0.5000
```

Calculated values
**Space group**: P-4m2
**Uncorrected energy**: -4.407 eV per atom

***

Material: La2Zn3Pd12Au
Method: DFT, PBE
State: optimized geometry

Geometry as POSCAR:
```
La2Zn3Pd12Au
1.0
7.8620 -0.1851 -0.1313
3.7218 6.9278 -0.1313
3.7218 2.1664 6.5817
Pd Zn Au La
12 3 1 2
direct
0.1461 0.1461 0.6043
0.3758 0.3758 0.8778
0.6242 0.1222 0.6242
0.1461 0.6043 0.1461
0.1222 0.6242 0.6242
0.6043 0.1461 0.1461
0.8539 0.8539 0.3957
0.6242 0.6242 0.1222
0.3957 0.8539 0.8539
0.8539 0.3957 0.8539
0.3758 0.8778 0.3758
0.8778 0.3758 0.3758
0.0000 0.5000 0.0000
0.0000 0.0000 0.5000
0.5000 0.0000 0.0000
0.0000 0.0000 0.0000
0.6154 0.6154 0.6154
0.3846 0.3846 0.3846
```

Calculated values
**Space group**: R-3m
**Uncorrected energy**: -4.589 eV per atom

***

Material: La2ZnPd3Au12
Method: DFT, PBE
State: optimized geometry

Geometry as POSCAR:
```
La2ZnPd3Au12
1.0
8.4042 -0.1203 -0.0853
4.0459 7.3673 -0.0853
4.0459 2.3550 6.9812
Au Pd La Zn
12 3 2 1
direct
0.6243 0.6243 0.0700
0.3757 0.3757 0.9300
0.9300 0.3757 0.3757
0.1299 0.6381 0.1299
0.6243 0.0700 0.6243
0.0700 0.6243 0.6243
0.1299 0.1299 0.6381
0.8701 0.8701 0.3619
0.6381 0.1299 0.1299
0.8701 0.3619 0.8701
0.3619 0.8701 0.8701
0.3757 0.9300 0.3757
0.5000 0.0000 0.0000
0.0000 0.0000 0.5000
0.0000 0.5000 0.0000
0.3807 0.3807 0.3807
0.6193 0.6193 0.6193
0.0000 0.0000 0.0000
```

Calculated values
**Space group**: R-3m
**Uncorrected energy**: -3.711 eV per atom

***

Material: La3Zn2Pd9Au
Method: DFT, PBE
State: optimized geometry

Geometry as POSCAR:
```
La3Zn2Pd9Au
1.0
-0.6302 7.3293 -2.4903
-4.4363 -5.5574 -3.1229
-4.4028 1.0884 4.3176
Zn Pd La Au
2 9 3 1
direct
0.6667 0.3333 0.8553
0.3333 0.6667 0.1447
0.8236 0.6472 0.6686
0.0000 0.5000 0.0000
0.1764 0.8236 0.3314
0.5000 0.0000 0.0000
0.6472 0.8236 0.3314
0.3528 0.1764 0.6686
0.1764 0.3528 0.3314
0.8236 0.1764 0.6686
0.5000 0.5000 0.0000
0.3333 0.6667 0.6526
0.0000 0.0000 0.0000
0.6667 0.3333 0.3474
0.0000 0.0000 0.5000
```

Calculated values
**Space group**: P-3m1
**Uncorrected energy**: -4.864 eV per atom

***

Material: La2Zn4Pd3Au
Method: DFT, PBE
State: optimized geometry

Geometry as POSCAR:
```
La2Zn4Pd3Au
1.0
-3.6359 1.8903 -1.6038
-2.3912 -3.4254 1.3836
-1.5500 4.7743 9.1413
Pd Zn La Au
3 4 2 1
direct
0.0000 0.0000 0.5000
0.5000 0.0000 0.8720
0.0000 0.5000 0.1280
0.0000 0.5000 0.3679
0.5000 0.0000 0.6321
0.5000 0.5000 0.0000
0.0000 0.0000 0.0000
0.0000 0.5000 0.7480
0.5000 0.0000 0.2520
0.5000 0.5000 0.5000
```

Calculated values
**Space group**: P-4m2
**Uncorrected energy**: -3.994 eV per atom

***

Material: LaZn2PdAu2
Method: DFT, PBE
State: optimized geometry

Geometry as POSCAR:
```
LaZn2PdAu2
1.0
-0.4527 3.2499 -3.5696
2.2295 -3.0393 -3.0498
-4.8774 -2.1941 -1.3790
Zn Au La Pd
2 2 1 1
direct
0.5000 0.0000 0.0000
0.0000 0.5000 0.0000
0.5000 0.5000 0.2567
0.5000 0.5000 0.7433
0.0000 0.0000 0.5000
0.0000 0.0000 0.0000
```

Calculated values
**Space group**: P4/mmm
**Uncorrected energy**: -3.610 eV per atom

***

Material: LaZr2PdAu
Method: DFT, PBE
State: optimized geometry

Geometry as POSCAR:
```
LaZr2PdAu
1.0
5.1608 0.0000 0.0000
0.0000 5.7165 0.0000
0.0000 0.0000 5.1608
Zr Pd La Au
2 1 1 1
direct
0.0000 0.0000 0.5000
0.5000 0.0000 0.0000
0.5000 0.5000 0.5000
0.0000 0.5000 0.0000
0.0000 0.0000 0.0000
```

Calculated values
**Space group**: P4/mmm
**Uncorrected energy**: -5.580 eV per atom

***

Material: La3PmAu4
Method: DFT, PBE
State: optimized geometry

Geometry as POSCAR:
```
La3PmAu4
1.0
5.1045 0.0000 1.5068
2.3299 4.5418 1.5068
0.0582 0.0356 9.2023
Au Pm La
4 1 3
direct
0.3729 0.3729 0.8814
0.6271 0.6271 0.1186
0.1225 0.1225 0.6325
0.8775 0.8775 0.3675
0.0000 0.0000 0.0000
0.7498 0.7498 0.7507
0.5000 0.5000 0.5000
0.2502 0.2502 0.2493
```

Calculated values
**Space group**: R-3m
**Uncorrected energy**: -4.856 eV per atom